[1]
This record from Alexandria via LeMat-Bulk describes a relaxed FeIr2W crystal. The functional is GGA-PBE.

Formation energy   0.2010 eV/atom
Polymorph energy (0 for the lowest one)   0.4372 eV/atom

abc: 6.1475 6.1475 6.1475
angles: 90.00 90.00 90.00
Space group F-43m (No. 216)
Inequivalent atoms, fractional coordinates:
Fe  0.0000  0.0000  0.0000
Ir  0.0000  0.0000  0.5000
Ir  0.2500  0.2500  0.2500
W  0.2500  0.2500  0.7500

[2]
This record from Alexandria via LeMat-Bulk describes a relaxed CsBePO2 crystal. The functional is GGA-PBE.

Polymorph energy (0 for the lowest one)   1.2416 eV/atom
Formation energy (no corrections)   1.3144 eV per atom

abc: 4.1716 4.1716 7.2462
angles: 90.00 90.00 90.00
Space group P4/mmm (No. 123)
Inequivalent atoms, fractional coordinates:
Cs  0.0000  0.0000  0.0000
Be  0.5000  0.5000  0.5000
P  0.0000  0.0000  0.5000
O  0.0000  0.5000  0.0000

[3]
This record from Alexandria via LeMat-Bulk describes a relaxed NaHfCu2Te4 crystal. The functional is GGA-PBE.

Formation energy (no corrections)   -0.2967 eV per atom

abc: 6.6200 7.6754 9.7905
angles: 90.00 90.00 90.00
Space group I222 (No. 23)
Inequivalent atoms, fractional coordinates:
Na  0.0000  0.0000  0.0000
Hf  0.0000  0.0000  0.5000
Cu  0.0000  0.5000  0.1274
Te  0.2272  0.2269  0.3470

[4]
This record from Alexandria via LeMat-Bulk describes a relaxed LaTi3As crystal. The functional is GGA-PBE.

Formation energy   1.2413 eV/atom
Polymorph energy (0 for the lowest one)   1.2115 eV/atom

abc: 4.7797 4.7797 4.7797
angles: 90.00 90.00 90.00
Space group Pm-3m (No. 221)
Inequivalent atoms, fractional coordinates:
La  0.0000  0.0000  0.0000
Ti  0.0000  0.0000  0.5000
As  0.5000  0.5000  0.5000

[5]
This record from Alexandria via LeMat-Bulk describes a relaxed ZrNbPd crystal. The functional is GGA-PBE.

Formation energy   -0.2872 eV/atom
Polymorph energy (0 for the lowest one)   0.1275 eV/atom

abc: 4.8617 3.3310 7.1382
angles: 90.00 104.62 90.00
Space group Pm (No. 6)
Inequivalent atoms, fractional coordinates:
Zr  0.0000  0.0000  0.0000
Zr  0.3614  0.0000  0.6554
Nb  0.5056  0.5000  0.0117
Nb  0.6332  0.0000  0.3213
Pd  0.1186  0.5000  0.3281
Pd  0.8754  0.5000  0.6641

[6]
This record from Alexandria via LeMat-Bulk describes a relaxed Pm4Ho7In crystal. The functional is GGA-PBE.

Formation energy   0.1502 eV/atom

abc: 11.3754 5.5375 13.0392
angles: 90.00 102.85 90.00
Space group C2/m (No. 12)
Inequivalent atoms, fractional coordinates:
Pm  0.0507  0.0000  0.2773
Pm  0.1630  0.5000  0.7737
Ho  0.0000  0.5000  0.5000
Ho  0.0944  0.5000  0.1231
Ho  0.1398  0.0000  0.9675
Ho  0.2396  0.5000  0.3863
In  0.0000  0.0000  0.5000

| no. | VASP energy (eV/f.u.) |
| --- | --- |
| 1 | -38.3 |
| 2 | -13.3 |
| 3 | -34.4 |
| 4 | -27.1 |
| 5 | -24.7 |
| 6 | -52.0 |